Computed, not measured: a geometry-optimized Na4Pa3Te8 structure at the PBE-GGA level of DFT.

extended XYZ file:
```
15
Lattice="-7.471 -4.498 1.475 7.346 -1.690 4.752 0.650 8.604 2.227" Properties=species:S:1:pos:R:3 pbc="T T T"
Na -3.735 -2.249 0.738
Na 3.673 -0.845 2.376
Na 0.000 0.000 0.000
Na 0.325 4.302 1.113
Pa -0.062 -3.094 3.114
Pa -3.411 2.053 1.851
Pa 0.263 1.208 4.227
Te -1.783 -0.516 2.624
Te 5.634 0.942 4.106
Te 1.913 1.707 1.885
Te 1.930 -1.354 4.856
Te -1.404 3.770 3.598
Te -1.388 0.709 6.569
Te 2.362 5.972 2.872
Te 2.309 2.932 5.831
```

Crystal system: monoclinic
Formation energy from raw total energies, eV per atom: -0.8027
Magnetization, μB/cell: 2.89
Symmetry: C2/m
ΔE to the lowest computed polymorph, eV per formula unit: 0.93



Computed, not measured: a geometry-optimized Cs2BePt structure at the PBE-GGA level of DFT.

extended XYZ file:
```
8
Lattice="-0.748 3.215 4.590 -4.169 -3.413 1.711 4.621 -6.071 8.487" Properties=species:S:1:pos:R:3 pbc="T T T"
Cs 0.154 0.120 5.283
Cs -1.531 -3.304 3.686
Cs 1.693 -4.570 8.699
Cs -0.908 -4.786 11.908
Be -2.459 -0.099 3.150
Be -1.004 -4.792 6.674
Pt 0.000 0.000 0.000
Pt 0.707 -1.478 8.114
```

Crystal system: tetragonal
DFT formation energy, eV per atom: 1.018
Magnetization, μB/cell: 0.00
Symmetry: I-42d
ΔE to the lowest computed polymorph, eV per formula unit: 1.01